First-principles (PBE) data for crystalline Ba2SiNi at its relaxed geometry, as listed in Alexandria via LeMat-Bulk.

Lattice parameters (Å, degrees): 6.078 6.078 6.078 140.36 124.51 70.33
Fractional positions:
Ba1 0.718 0.218 0.500
Si1 0.332 0.832 0.500
Ni1 0.415 0.415 0.000
Ba2 0.035 0.035 0.000

Values from the calculation:
M_tot = 0.0000 μB per atom
Raw formation energy = -0.188 eV/atom
Space group = Imm2, No. 44
Volume = 115.9 Å³ per cell


First-principles (PBE) data for crystalline Ba2SiNi2 at its relaxed geometry, as listed in Alexandria via LeMat-Bulk.

Lattice parameters (Å, degrees): 6.891 6.891 4.883 90.00 90.00 90.00
Fractional positions:
Ni1 0.127 0.373 0.000
Si1 0.500 0.500 0.000
Ba1 0.314 0.186 0.500
Si2 0.000 0.000 0.000
Ba2 0.814 0.314 0.500
Ni2 0.373 0.873 0.000
Ba3 0.686 0.814 0.500
Ni3 0.873 0.627 0.000
Ni4 0.627 0.127 0.000
Ba4 0.186 0.686 0.500

Values from the calculation:
M_tot = 0.0000 μB per atom
Raw formation energy = 0.101 eV/atom
Space group = P4/mbm, No. 127
Volume = 231.8 Å³ per cell


First-principles (PBE) data for crystalline Ba8Si43Ni3 at its relaxed geometry, as listed in Alexandria via LeMat-Bulk.

Lattice parameters (Å, degrees): 10.354 10.354 10.354 90.06 90.06 90.06
Fractional positions:
Si1 0.057 0.751 0.863
Si2 0.249 0.751 0.000
Si3 0.943 0.137 0.249
Ba1 0.500 0.737 0.263
Si4 0.137 0.249 0.943
Si5 0.566 0.566 0.566
Ba2 0.263 0.500 0.737
Si6 0.444 0.751 0.866
Ba3 0.253 0.253 0.253
Si7 0.568 0.936 0.935
Si8 0.863 0.057 0.751
Si9 0.249 0.567 0.381
Si10 0.000 0.249 0.751
Si11 0.556 0.134 0.249
Si12 0.065 0.065 0.065
Ba4 0.000 0.737 0.263
Si13 0.378 0.249 0.930
Si14 0.566 0.567 0.937
Si15 0.134 0.249 0.556
Si16 0.866 0.444 0.751
Si17 0.249 0.556 0.134
Si18 0.751 0.622 0.070
Si19 0.070 0.751 0.622
Si20 0.567 0.937 0.566
Si21 0.935 0.568 0.936
Si22 0.434 0.063 0.433
Si23 0.935 0.935 0.935
Si24 0.433 0.751 0.619
Ni1 0.500 0.251 0.749
Ba5 0.737 0.263 0.000
Ba6 0.747 0.747 0.747
Si25 0.434 0.434 0.434
Si26 0.937 0.566 0.567
Si27 0.065 0.064 0.432
Si28 0.619 0.433 0.751
Si29 0.936 0.935 0.568
Si30 0.432 0.065 0.064
Ni2 0.749 0.500 0.251
Si31 0.063 0.433 0.434
Si32 0.249 0.930 0.378
Ni3 0.251 0.749 0.500
Si33 0.622 0.070 0.751
Si34 0.751 0.866 0.444
Si35 0.751 0.863 0.057
Si36 0.930 0.378 0.249
Ba7 0.263 0.000 0.737
Si37 0.249 0.943 0.137
Si38 0.381 0.249 0.567
Ba8 0.737 0.263 0.500
Si39 0.064 0.432 0.065
Si40 0.751 0.000 0.249
Si41 0.567 0.381 0.249
Si42 0.751 0.619 0.433
Si43 0.433 0.434 0.063

Values from the calculation:
M_tot = 0.0000 μB per atom
Raw formation energy = -0.222 eV/atom
Space group = R32, No. 155
Volume = 1109.9 Å³ per cell


First-principles (PBE) data for crystalline Ba2SiNi at its relaxed geometry, as listed in Alexandria via LeMat-Bulk.

Lattice parameters (Å, degrees): 3.817 3.883 9.035 64.51 90.00 90.00
Site moments in Bohr magnetons follow the coordinates.
Fractional positions:
Ba1 0.000 0.989 0.012  -0.01
Ba2 0.000 0.511 0.488  -0.01
Ni1 0.500 0.250 0.250  0.37
Si1 0.500 0.750 0.750  0.05

Values from the calculation:
M_tot = 0.1138 μB per atom
Raw formation energy = 0.136 eV/atom
Space group = Pmmm, No. 47
Volume = 120.9 Å³ per cell


First-principles (PBE) data for crystalline BaSiNi at its relaxed geometry, as listed in Alexandria via LeMat-Bulk.

Lattice parameters (Å, degrees): 6.362 6.362 3.282 75.05 75.05 29.90
Fractional positions:
Ni1 0.279 0.279 0.721
Ba1 0.000 0.000 0.000
Si1 0.721 0.721 0.279

Values from the calculation:
M_tot = 0.0000 μB per atom
Raw formation energy = -0.062 eV/atom
Space group = I4mm, No. 107
Volume = 63.8 Å³ per cell


First-principles (PBE) data for crystalline BaSi12Ni6 at its relaxed geometry, as listed in Alexandria via LeMat-Bulk.

Lattice parameters (Å, degrees): 6.985 6.985 6.985 105.85 105.85 105.85
Fractional positions:
Si1 0.151 0.500 0.849
Si2 0.532 0.532 0.840
Si3 0.160 0.468 0.468
Ni1 0.786 0.400 0.786
Ni2 0.214 0.600 0.214
Si4 0.849 0.151 0.500
Ba1 0.000 0.000 0.000
Si5 0.532 0.840 0.532
Ni3 0.786 0.786 0.400
Ni4 0.214 0.214 0.600
Si6 0.468 0.468 0.160
Si7 0.849 0.500 0.151
Ni5 0.600 0.214 0.214
Si8 0.500 0.151 0.849
Si9 0.840 0.532 0.532
Si10 0.468 0.160 0.468
Si11 0.151 0.849 0.500
Ni6 0.400 0.786 0.786
Si12 0.500 0.849 0.151

Values from the calculation:
M_tot = 0.0000 μB per atom
Raw formation energy = -0.197 eV/atom
Space group = R-3m, No. 166
Volume = 292.2 Å³ per cell


First-principles (PBE) data for crystalline Ba2SiNi at its relaxed geometry, as listed in Alexandria via LeMat-Bulk.

Lattice parameters (Å, degrees): 4.025 5.257 6.582 90.00 90.00 90.00
Site moments in Bohr magnetons follow the coordinates.
Fractional positions:
Si1 0.500 0.500 0.872  0.06
Ba1 0.500 0.500 0.373  -0.01
Ba2 0.000 0.000 0.876  0.00
Ni1 0.000 0.000 0.380  0.28

Values from the calculation:
M_tot = 0.1092 μB per atom
Raw formation energy = 0.308 eV/atom
Space group = Pmm2, No. 25
Volume = 139.3 Å³ per cell


First-principles (PBE) data for crystalline BaSi2Ni3 at its relaxed geometry, as listed in Alexandria via LeMat-Bulk.

Lattice parameters (Å, degrees): 3.937 7.648 7.888 112.28 90.00 104.92
Fractional positions:
Ni1 0.411 0.822 0.365
Ba1 0.148 0.296 0.066
Si1 0.176 0.352 0.626
Ni2 0.686 0.372 0.446
Ni3 0.589 0.178 0.635
Ni4 0.967 0.933 0.622
Ni5 0.033 0.067 0.378
Si2 0.524 0.049 0.238
Ba2 0.852 0.704 0.934
Si3 0.476 0.951 0.762
Ni6 0.314 0.628 0.554
Si4 0.824 0.648 0.374

Values from the calculation:
M_tot = 0.0000 μB per atom
Raw formation energy = -0.431 eV/atom
Space group = C2/m, No. 12
Volume = 211.1 Å³ per cell


First-principles (PBE) data for crystalline Ba2SiNi at its relaxed geometry, as listed in Alexandria via LeMat-Bulk.

Lattice parameters (Å, degrees): 8.830 5.603 3.868 90.02 64.02 129.55
Site moments in Bohr magnetons follow the coordinates.
Fractional positions:
Si1 0.500 0.500 0.000  0.01
Ba1 0.000 0.000 0.000  -0.01
Ba2 0.500 0.000 0.500  -0.01
Ni1 0.000 0.500 0.500  0.19

Values from the calculation:
M_tot = 0.0434 μB per atom
Raw formation energy = 0.137 eV/atom
Space group = Cmmm, No. 65
Volume = 121.4 Å³ per cell


First-principles (PBE) data for crystalline Ba2SiNi2 at its relaxed geometry, as listed in Alexandria via LeMat-Bulk.

Lattice parameters (Å, degrees): 6.129 6.129 5.593 56.78 56.78 90.00
Site moments in Bohr magnetons follow the coordinates.
Fractional positions:
Si1 0.000 0.000 0.000  0.06
Ba1 0.250 0.750 0.500  0.01
Ni1 0.678 0.678 0.644  0.19
Ni2 0.322 0.322 0.356  0.19
Ba2 0.750 0.250 0.500  0.01

Values from the calculation:
M_tot = 0.1287 μB per atom
Raw formation energy = 0.046 eV/atom
Space group = I4/mmm, No. 139
Volume = 132.8 Å³ per cell


First-principles (PBE) data for crystalline Ba2SiNi at its relaxed geometry, as listed in Alexandria via LeMat-Bulk.

Lattice parameters (Å, degrees): 4.220 4.209 9.095 88.97 90.00 120.09
Fractional positions:
Ni1 0.125 0.250 0.408
Ba1 0.130 0.260 0.101
Ba2 0.786 0.571 0.623
Si1 0.459 0.918 0.369

Values from the calculation:
M_tot = 0.0000 μB per atom
Raw formation energy = -0.157 eV/atom
Space group = Cm, No. 8
Volume = 139.7 Å³ per cell


First-principles (PBE) data for crystalline Ba2SiNi2 at its relaxed geometry, as listed in Alexandria via LeMat-Bulk.

Lattice parameters (Å, degrees): 4.102 4.102 9.915 78.06 78.06 60.00
Fractional positions:
Ba1 0.574 0.574 0.277
Si1 0.000 0.000 0.000
Ba2 0.426 0.426 0.723
Ni1 0.319 0.319 0.044
Ni2 0.681 0.681 0.956

Values from the calculation:
M_tot = 0.0004 μB per atom
Raw formation energy = -0.324 eV/atom
Space group = R-3m, No. 166
Volume = 140.3 Å³ per cell


First-principles (PBE) data for crystalline Ba3SiNi at its relaxed geometry, as listed in Alexandria via LeMat-Bulk.

Lattice parameters (Å, degrees): 5.759 5.759 5.759 90.00 90.00 90.00
Fractional positions:
Ba1 0.000 0.000 0.500
Ba2 0.000 0.500 0.000
Si1 0.500 0.500 0.500
Ni1 0.000 0.000 0.000
Ba3 0.500 0.000 0.000

Values from the calculation:
M_tot = 0.0000 μB per atom
Raw formation energy = 0.149 eV/atom
Space group = Pm-3m, No. 221
Volume = 191.0 Å³ per cell


First-principles (PBE) data for crystalline Ba2SiNiTe at its relaxed geometry, as listed in Alexandria via LeMat-Bulk.

Lattice parameters (Å, degrees): 6.106 6.106 4.358 90.00 90.00 90.00
Fractional positions:
Ba1 0.000 0.500 0.000
Ni1 0.000 0.000 0.000
Te1 0.500 0.500 0.500
Si1 0.000 0.000 0.500
Ba2 0.500 0.000 0.000

Values from the calculation:
M_tot = 0.0000 μB per atom
Raw formation energy = -0.716 eV/atom
Space group = P4/mmm, No. 123
Volume = 162.5 Å³ per cell


First-principles (PBE) data for crystalline BaZn2SiNi at its relaxed geometry, as listed in Alexandria via LeMat-Bulk.

Lattice parameters (Å, degrees): 4.795 4.795 4.529 90.00 90.00 90.00
Fractional positions:
Ni1 0.000 0.000 0.000
Ba1 0.500 0.500 0.500
Si1 0.000 0.000 0.500
Zn1 0.500 0.000 0.000
Zn2 0.000 0.500 0.000

Values from the calculation:
M_tot = 0.0000 μB per atom
Raw formation energy = -0.196 eV/atom
Space group = P4/mmm, No. 123
Volume = 104.1 Å³ per cell


First-principles (PBE) data for crystalline BaSmNi at its relaxed geometry, as listed in Alexandria via LeMat-Bulk.

Lattice parameters (Å, degrees): 3.994 3.994 14.520 90.00 90.00 120.00
Fractional positions:
Ni1 0.333 0.667 0.449
Sm1 0.667 0.333 0.565
Ba1 0.333 0.667 0.087
Sm2 0.667 0.333 0.334
Ni2 0.667 0.333 0.949
Ba2 0.333 0.667 0.811

Values from the calculation:
M_tot = 0.0000 μB per atom
ΔE_f = 138 meV/atom
Space group = P-6m2, No. 187
Volume = 200.6 Å³ per cell


First-principles (PBE) data for crystalline BaSmNi10 at its relaxed geometry, as listed in Alexandria via LeMat-Bulk.

Lattice parameters (Å, degrees): 3.952 5.059 8.796 90.00 90.00 90.00
Site moments in Bohr magnetons follow the coordinates.
Fractional positions:
Ni1 0.000 0.000 0.343  0.37
Ni2 0.500 0.257 0.737  0.45
Ni3 0.500 0.500 0.000  0.44
Ba1 0.000 0.000 0.000  -0.04
Ni4 0.500 0.000 0.500  0.43
Ni5 0.500 0.257 0.263  0.45
Ni6 0.000 0.000 0.657  0.37
Ni7 0.500 0.743 0.263  0.45
Ni8 0.000 0.500 0.821  0.39
Ni9 0.000 0.500 0.179  0.39
Ni10 0.500 0.743 0.737  0.45
Sm1 0.000 0.500 0.500  -0.07

Values from the calculation:
M_tot = 0.3094 μB per atom
ΔE_f = -96 meV/atom
Space group = Pmmm, No. 47
Volume = 175.9 Å³ per cell


First-principles (PBE) data for crystalline BaSm3Ni at its relaxed geometry, as listed in Alexandria via LeMat-Bulk.

Lattice parameters (Å, degrees): 5.592 5.592 5.592 90.00 90.00 90.00
Fractional positions:
Sm1 0.000 0.500 0.000
Ni1 0.000 0.000 0.000
Ba1 0.500 0.500 0.500
Sm2 0.500 0.000 0.000
Sm3 0.000 0.000 0.500

Values from the calculation:
M_tot = 0.0006 μB per atom
ΔE_f = 16 meV/atom
Space group = Pm-3m, No. 221
Volume = 174.8 Å³ per cell


First-principles (PBE) data for crystalline BaNiSn2 at its relaxed geometry, as listed in Alexandria via LeMat-Bulk.

Lattice parameters (Å, degrees): 5.686 5.686 9.211 72.02 72.02 90.00
Fractional positions:
Ba1 0.750 0.250 0.500
Sn1 0.375 0.606 0.750
Ni1 0.500 0.500 0.000
Ba2 0.000 0.000 0.000
Sn2 0.356 0.625 0.250
Sn3 0.875 0.644 0.750
Ni2 0.250 0.750 0.500
Sn4 0.394 0.125 0.250

Values from the calculation:
M_tot = 0.0000 μB per atom
ΔE_f = -215 meV/atom
Space group = I-42d, No. 122
Volume = 267.9 Å³ per cell


First-principles (PBE) data for crystalline BaNiSn at its relaxed geometry, as listed in Alexandria via LeMat-Bulk.

Lattice parameters (Å, degrees): 5.084 4.466 4.466 120.00 90.00 90.00
Fractional positions:
Ba1 0.667 0.667 0.333
Ni1 0.166 0.000 0.000
Sn1 0.167 0.333 0.667

Values from the calculation:
M_tot = 0.0000 μB per atom
ΔE_f = -319 meV/atom
Space group = P-6m2, No. 187
Volume = 87.8 Å³ per cell


First-principles (PBE) data for crystalline BaNiSn3 at its relaxed geometry, as listed in Alexandria via LeMat-Bulk.

Lattice parameters (Å, degrees): 6.223 6.406 6.837 90.00 90.00 90.00
Fractional positions:
Ba1 0.916 0.042 0.201
Ni1 0.668 0.583 0.201
Sn1 0.365 0.329 0.201
Sn2 0.964 0.526 0.944
Ni2 0.169 0.770 0.701
Ba2 0.416 0.311 0.701
Sn3 0.464 0.826 0.958
Sn4 0.865 0.024 0.701
Sn5 0.464 0.826 0.444
Sn6 0.964 0.526 0.458

Values from the calculation:
M_tot = 0.0000 μB per atom
ΔE_f = -394 meV/atom
Space group = Pmn2_1, No. 31
Volume = 272.6 Å³ per cell


First-principles (PBE) data for crystalline BaNi2Sn4 at its relaxed geometry, as listed in Alexandria via LeMat-Bulk.

Lattice parameters (Å, degrees): 4.596 7.317 19.102 90.00 90.00 90.00
Fractional positions:
Ni1 0.750 0.257 0.467
Ni2 0.250 0.757 0.033
Sn1 0.750 0.844 0.473
Sn2 0.750 0.787 0.799
Sn3 0.750 0.994 0.070
Ni3 0.250 0.510 0.290
Ba1 0.750 0.496 0.140
Sn4 0.250 0.156 0.527
Sn5 0.750 0.310 0.320
Sn6 0.750 0.713 0.299
Sn7 0.250 0.494 0.430
Ni4 0.250 0.743 0.533
Sn8 0.250 0.344 0.027
Ni5 0.250 0.990 0.790
Sn9 0.250 0.213 0.201
Sn10 0.250 0.810 0.180
Ba2 0.250 0.504 0.860
Ni6 0.750 0.010 0.210
Ni7 0.750 0.490 0.710
Ba3 0.250 0.996 0.360
Ni8 0.750 0.243 0.967
Ba4 0.750 0.004 0.640
Sn11 0.250 0.287 0.701
Sn12 0.250 0.006 0.930
Sn13 0.750 0.190 0.820
Sn14 0.750 0.506 0.570
Sn15 0.750 0.656 0.973
Sn16 0.250 0.690 0.680

Values from the calculation:
M_tot = 0.0000 μB per atom
ΔE_f = -285 meV/atom
Space group = Pnma, No. 62
Volume = 642.3 Å³ per cell